An optimized crystal structure of HfMg2Mo4, computed with PBE.

Properties
**VASP energy**: -6.29 eV/atom
**Energy of formation**: 12.441 eV per formula unit
**Crystal system**: tetragonal

Lattice parameters (Å, degrees): 7.8074 7.8074 7.8074 144.37 144.37 51.27
Element x y z (fractional)
Hf 0.0000 0.0000 0.0000
Mg 0.3774 0.3774 0.0000
Mg 0.6226 0.6226 0.0000
Mo 0.0000 0.5000 0.5000
Mo 0.1798 0.1798 0.0000
Mo 0.5000 0.0000 0.5000
Mo 0.8202 0.8202 0.0000